1.
First-principles (GGA-PBE) data for an optimized crystal structure of InTcAs2, as listed in Alexandria.

Geometry as extended XYZ:
```
4
Lattice="4.333 -1.573 0.000 4.333 1.573 0.000 -2.083 0.000 6.082" Properties=species:S:1:pos:R:3 pbc="T T T"
In 0.000 0.000 0.000
Tc 4.622 0.000 2.460
As 0.147 0.000 4.423
As 2.163 0.000 2.297
```

SG: No. 8
Final energy: -5.67 eV per atom
Calculated formation energy: -0.07 eV per atom



2.
First-principles (GGA-PBE) data for an optimized crystal structure of HfTlI2O, as listed in Alexandria.

Geometry as extended XYZ:
```
5
Lattice="6.175 0.000 0.000 0.000 6.175 0.000 0.000 0.000 4.021" Properties=species:S:1:pos:R:3 pbc="T T T"
Hf 0.000 0.000 0.000
Tl 3.087 3.087 2.010
I 0.000 3.087 2.010
I 3.087 0.000 2.010
O 3.087 3.087 0.000
```

SG: No. 123
Energy above the most stable polymorph in this dataset: 1.6205 eV/atom
Raw formation energy: 0.438 eV/atom
Final energy: -3.64 eV per atom